Density functional theory data (PBE) for a relaxed structure of NbNiS.

Calculated values
For the energy above the most stable polymorph in this dataset, the calculation gives 142 meV per atom. Its crystal system is triclinic. As for the calculated total energy: -7.096 eV per atom. Its uncorrected formation energy is -0.4362 eV/atom. As for the symmetry: P1 (1).

Cell: 4.3221 4.6277 4.9036 Å, 102.63 103.47 105.82°
Fractional positions:
Ni: 0.4740 0.4268 0.0665
Ni: 0.5047 0.8703 0.8343
Nb: 0.8171 0.3947 0.6430
Nb: 0.0998 0.8551 0.2564
S: 0.0211 0.9885 0.7776
S: 0.2766 0.4490 0.4293